Li3Fe5OF11 | PBE with a Hubbard U | relaxed

Calculated values
**Space-group type**: No. 1
**Fermi-level density of states**: 0.0 states/eV/cell
**Energy above the most stable polymorph in this dataset**: 0.000 eV/atom

Cell: 5.2537 5.6469 9.3545 Å, 71.76 104.72 116.90°
Last column: magnetic moment on the atom in μB.
Atoms (fractional coordinates):
Fe: 0.7106 0.5031 0.9073  3.79
F: 0.4115 0.5097 0.7067  0.05
Li: 0.0132 0.0327 0.9975  0.00
Fe: 0.1792 0.0080 0.4012  3.80
F: 0.4377 0.1635 0.0339  0.04
Li: 0.2788 0.7646 0.7621  0.00
F: 0.5548 0.7609 0.9475  0.04
F: 0.5171 0.4209 0.2884  0.05
F: 0.4992 0.0766 0.6118  0.05
Fe: 0.9503 0.2314 0.6494  3.83
F: 0.4294 0.8593 0.3518  0.05
O: 0.0637 0.2538 0.4584  0.11
F: 0.9167 0.6398 0.5438  0.05
F: 0.0070 0.8817 0.8056  0.04
F: 0.8938 0.0025 0.1920  0.04
F: 0.0201 0.5960 0.1087  0.04
Fe: 0.4819 0.4979 0.4971  3.78
Fe: 0.4565 0.7752 0.1447  3.80
Li: 0.8080 0.3113 0.2719  0.00
F: 0.9448 0.3355 0.8452  0.03